Sr5Pt3: relaxed, PBEsol.

Computed properties:
Its uncorrected energy is -70.1 eV for the cell shown. The value obtained for the distance to the lowest polymorph of the same formula is 0.00 eV per formula unit. The value obtained for the energy of formation is -0.621 eV per atom.

Unit cell a=8.8193 b=8.8193 c=6.8181 alpha=90.00 beta=90.00 gamma=120.00
Space group P6_3/mcm (No. 193)
Unique sites:
Sr  0.0000  0.2639  0.2500
Sr  0.3333  0.6667  0.0000
Pt  0.0000  0.3893  0.7500